Below is a relaxed structure of LaCrO3, with properties calculated at the PBE with a Hubbard U level.

```
LaCrO3
1.0
6.622 -1.670 0.000
6.622 1.670 0.000
-1.433 0.000 6.626
La Cr O
2 2 6
direct
0.119 0.119 0.375
0.881 0.881 0.625
0.344 0.344 0.142
0.656 0.656 0.858
0.058 0.058 0.730
0.186 0.186 0.061
0.313 0.313 0.417
0.687 0.687 0.583
0.814 0.814 0.939
0.942 0.942 0.270
```

Results
Density of states at the Fermi level   0.00 states/eV/f.u.
Final energy   -75.3 eV/cell
Size of the total moment   2.00 μB/cell
SG   No. 12
Theoretical density   5.4 g cm⁻³
Crystal system   monoclinic